# 1
First-principles (PBE) data for a relaxed CaPrMg5 crystal, as listed in the Alexandria database.

Lattice parameters (Å, degrees): 5.790 5.790 6.826 90.02 90.02 111.22
Fractional positions:
Mg 0.000 0.500 0.247
Mg 0.500 0.000 0.753
Mg 0.000 0.500 0.753
Mg 0.500 0.000 0.247
Mg 0.000 0.000 0.500
Ca 0.500 0.500 0.500
Pr 0.000 0.000 0.000

Output
N(E_F) ... 0.887 states/eV/atom
M_tot ... 0.0 μB/f.u.
ΔE_f ... 127 meV per atom

# 2
First-principles (PBE) data for a relaxed Ba8GaPb2 crystal, as listed in the Alexandria database.

Lattice parameters (Å, degrees): 5.862 10.020 10.211 119.38 106.68 90.00
Fractional positions:
Ba 0.653 0.878 0.306
Ba 0.867 0.867 0.734
Ba 0.133 0.133 0.266
Ba 0.653 0.428 0.306
Ba 0.000 0.667 0.000
Ba 0.347 0.572 0.694
Ba 0.000 0.333 0.000
Ba 0.347 0.122 0.694
Ga 0.500 0.000 0.000
Pb 0.198 0.698 0.396
Pb 0.802 0.302 0.604

Output
N(E_F) ... 1.052 states/eV/atom
M_tot ... 0.0 μB/f.u.
ΔE_f ... -253 meV per atom

# 3
First-principles (PBE) data for a relaxed MgInCu2 crystal, as listed in the Alexandria database.

Lattice parameters (Å, degrees): 4.726 4.726 5.116 79.71 79.71 36.87
Fractional positions:
Mg 0.750 0.750 0.750
Cu 0.002 0.002 0.978
Cu 0.498 0.498 0.522
In 0.250 0.250 0.250

Output
N(E_F) ... 0.368 states/eV/atom
M_tot ... 0.0 μB/f.u.
ΔE_f ... 74 meV per atom

# 4
First-principles (PBE) data for a relaxed TlFeTeW crystal, as listed in the Alexandria database.

Lattice parameters (Å, degrees): 3.905 3.906 7.319 82.66 82.91 60.16
Fractional positions:
Te 0.460 0.398 0.157
Tl 0.039 0.971 0.728
W 0.753 0.687 0.424
Fe 0.101 0.036 0.333

Output
N(E_F) ... 0.441 states/eV/atom
Energy relative to the elements, uncorrected ... 397 meV/atom
M_tot ... 0.0 μB/f.u.

Copy entry 1 word for word.
First-principles (PBE) data for a relaxed CaPrMg5 crystal, as listed in the Alexandria database.

Lattice parameters (Å, degrees): 5.790 5.790 6.826 90.02 90.02 111.22
Fractional positions:
Mg 0.000 0.500 0.247
Mg 0.500 0.000 0.753
Mg 0.000 0.500 0.753
Mg 0.500 0.000 0.247
Mg 0.000 0.000 0.500
Ca 0.500 0.500 0.500
Pr 0.000 0.000 0.000

Output
N(E_F) ... 0.887 states/eV/atom
M_tot ... 0.0 μB/f.u.
ΔE_f ... 127 meV per atom